[1]
Computed, not measured: a relaxed structure of ReAs2Rh at the PBE-GGA level of DFT.

## Properties
**Energy above the most stable polymorph in this dataset**: 430 meV per atom
**Formation energy**: 1.5 eV/f.u.
**Crystal system**: orthorhombic

a = 3.138 Å, b = 5.105 Å, c = 7.985 Å
α = 90.00°, β = 90.00°, γ = 90.00°
Element x y z (fractional)
1 Re 0.000 0.000 0.000
2 Re 0.500 0.500 0.000
3 As 0.000 0.500 0.251
4 As 0.000 0.500 0.749
5 As 0.500 0.000 0.251
6 As 0.500 0.000 0.749
7 Rh 0.000 0.000 0.500
8 Rh 0.500 0.500 0.500

[2]
Computed, not measured: a relaxed structure of MgSc4AgPd2 at the PBE-GGA level of DFT.

## Properties
**Formation energy**: -4.1 eV/f.u.
**Crystal system**: trigonal

a = 8.386 Å, b = 8.386 Å, c = 8.386 Å
α = 33.12°, β = 33.12°, γ = 33.12°
Element x y z (fractional)
1 Mg 0.000 0.000 0.000
2 Sc 0.127 0.127 0.127
3 Sc 0.379 0.379 0.379
4 Sc 0.621 0.621 0.621
5 Sc 0.873 0.873 0.873
6 Ag 0.500 0.500 0.500
7 Pd 0.258 0.258 0.258
8 Pd 0.742 0.742 0.742

[3]
Computed, not measured: a relaxed structure of InFeMo2N at the PBE-GGA level of DFT.

## Properties
**E_form (uncorrected)**: -0.027 eV per atom
**Crystal system**: tetragonal

a = 4.178 Å, b = 4.178 Å, c = 3.952 Å
α = 90.00°, β = 90.00°, γ = 90.00°
Element x y z (fractional)
1 In 0.000 0.000 0.000
2 Fe 0.500 0.500 0.000
3 Mo 0.000 0.500 0.500
4 Mo 0.500 0.000 0.500
5 N 0.500 0.500 0.500

Energy: -6.904, -5.528, -8.264 (eV/atom)
N(E_F): 6.4, 4.8, 3.2 (states/eV/cell)